RbNaTl2Te2 | GGA-PBE | relaxed

CIF file:
```
data_RbNaTl2Te2
_chemical_formula_sum 'Rb2 Na2 Tl4 Te4'
_space_group_name_H-M_alt 'P 1'
_space_group_IT_number 1
_cell_length_a 5.347
_cell_length_b 8.304
_cell_length_c 10.152
_cell_angle_alpha 90.00
_cell_angle_beta 90.00
_cell_angle_gamma 90.00
loop_
_space_group_symop_operation_xyz
'x,y,z'
loop_
_atom_site_label
_atom_site_fract_x
_atom_site_fract_y
_atom_site_fract_z
Te1 0.000 0.257 0.823
Tl1 0.000 0.855 0.844
Tl2 0.500 0.520 0.900
Na1 0.500 0.147 0.689
Na2 0.500 0.647 0.311
Te2 0.500 0.767 0.640
Tl3 0.500 0.020 0.100
Rb1 0.000 0.000 0.463
Rb2 0.000 0.500 0.537
Te3 0.000 0.757 0.177
Te4 0.500 0.267 0.360
Tl4 0.000 0.355 0.156
```

SG: Pmc2_1, No. 26
spin magnetization: 0.00 μB per cell
ΔE_f (raw): -0.6129 eV/atom
V: 37.6 A^3/atom